Pr2SmDy4Y2 | PBE | relaxed

## Properties
space group = C2/m (12)
E_form = -0.003 eV/atom

Lattice parameters (Å, degrees): 3.6290 9.5917 9.6374 115.24 90.00 100.90
Atoms (fractional coordinates):
Pr 0.3340 0.6679 0.9990
Pr 0.6660 0.3321 0.0010
Sm 0.0000 0.0000 0.0000
Dy 0.8144 0.6289 0.6631
Dy 0.1856 0.3711 0.3369
Dy 0.5192 0.0383 0.3352
Dy 0.4808 0.9617 0.6648
Y 0.8533 0.7067 0.3378
Y 0.1467 0.2933 0.6622